DFT (GGA-PBE) results for a relaxed structure of Ce2DySi.

```
4
Lattice="4.955 0.000 0.000 0.000 4.379 0.000 0.000 0.000 4.379" Properties=species:S:1:pos:R:3 pbc="T T T"
Si 2.477 0.000 0.000
Ce 0.000 0.000 2.190
Ce 0.000 2.190 0.000
Dy 2.477 2.190 2.190
```

## Properties
**Raw formation energy**: -0.310 eV/atom
**ΔE to the lowest computed polymorph**: 0.000 eV/atom
**Space-group type**: No. 123
**Size of the total moment**: 0.0001 μB/atom
**V**: 95.0 Å³/f.u.
**Calculated total energy**: -5.78 eV/atom

DFT (GGA-PBE) results for a relaxed structure of PmCuSi2Pd5.

```
9
Lattice="-0.057 -0.321 -4.674 4.679 0.245 -0.074 0.374 -7.007 0.477" Properties=species:S:1:pos:R:3 pbc="T T T"
Pm 0.187 -3.503 0.238
Cu 0.000 0.000 0.000
Si 2.371 -1.153 -2.298
Si 2.626 -5.930 -1.973
Pd 2.422 -1.431 0.069
Pd 0.055 -1.714 -2.232
Pd 2.630 -5.331 0.334
Pd 0.263 -5.613 -1.966
Pd 2.498 -3.541 -2.136
```

## Properties
**Raw formation energy**: -0.489 eV/atom
**Space-group type**: No. 123
**Size of the total moment**: 0.0000 μB/atom
**V**: 154.4 Å³/f.u.
**Calculated total energy**: -5.56 eV/atom

DFT (GGA-PBE) results for a relaxed structure of LaYPS2.

```
5
Lattice="5.117 0.000 0.000 0.000 5.117 0.000 0.000 0.000 5.204" Properties=species:S:1:pos:R:3 pbc="T T T"
Y 0.000 0.000 0.000
P 0.000 0.000 2.602
S 0.000 2.558 0.000
S 2.558 0.000 0.000
La 2.558 2.558 2.602
```

## Properties
**Raw formation energy**: -1.110 eV/atom
**ΔE to the lowest computed polymorph**: 0.000 eV/atom
**Space-group type**: No. 123
**Size of the total moment**: 0.0000 μB/atom
**V**: 136.2 Å³/f.u.
**Calculated total energy**: -6.12 eV/atom

DFT (GGA-PBE) results for a relaxed structure of NaCo2Ge3.

```
12
Lattice="-2.585 -4.445 -0.782 4.323 -1.757 -4.299 1.790 -2.050 5.732" Properties=species:S:1:pos:R:3 pbc="T T T"
Na 1.524 -2.462 0.313
Na 2.005 -5.790 0.338
Co 2.552 -4.035 -2.791
Co 3.844 -1.813 -2.400
Co 2.270 -1.994 3.833
Co 0.978 -4.217 3.442
Ge 0.322 -4.374 -2.143
Ge -0.672 -4.489 1.797
Ge 3.207 -3.878 2.794
Ge -1.520 -3.594 -0.489
Ge 5.049 -4.658 1.139
Ge 4.201 -3.763 -1.146
```

## Properties
**Energy of formation from the pure elements**: -0.120 eV/atom
**Space-group type**: No. 63
**Size of the total moment**: 0.0000 μB/atom
**V**: 98.8 Å³/f.u.
**Calculated total energy**: -5.02 eV/atom

> The lowest calculated total energy belongs to which entry?

LaYPS2

> Number 4 is which compound?

NaCo2Ge3

> What is the formula in the second record?

PmCuSi2Pd5